Entry 1:
# Ca3BPd, relaxed, DFT PBE
data_Ca3BPd
_space_group_name_H-M_alt 'P m -3 m'
_space_group_IT_number 221
_space_group_name_Hall '-P 4 2 3'
_cell_length_a 5.1179
_cell_length_b 5.1179
_cell_length_c 5.1179
_cell_angle_alpha 90.00
_cell_angle_beta 90.00
_cell_angle_gamma 90.00
loop_
_atom_site_label
_atom_site_type_symbol
_atom_site_fract_x
_atom_site_fract_y
_atom_site_fract_z
_atom_site_occupancy
Ca1 Ca 0.0000 0.0000 0.5000 1
B1 B 0.0000 0.0000 0.0000 1
Pd1 Pd 0.5000 0.5000 0.5000 1
# * calculated total energy: -3.45 eV per atom
# * energy relative to the elements: 0.13 eV per atom
# * M_tot: 0.000 μB per atom
# * polymorph energy (0 for the lowest one): 0 meV/atom

---

Entry 2:
# TiNb2BiRu, relaxed, DFT PBE
data_TiNb2BiRu
_space_group_name_H-M_alt 'P 4/m m m'
_space_group_IT_number 123
_space_group_name_Hall '-P 4 2'
_cell_length_a 4.8825
_cell_length_b 4.8825
_cell_length_c 4.6982
_cell_angle_alpha 90.00
_cell_angle_beta 90.00
_cell_angle_gamma 90.00
loop_
_atom_site_label
_atom_site_type_symbol
_atom_site_fract_x
_atom_site_fract_y
_atom_site_fract_z
_atom_site_occupancy
Ti1 Ti 0.0000 0.0000 0.0000 1
Nb1 Nb 0.0000 0.5000 0.5000 1
Bi1 Bi 0.5000 0.5000 0.0000 1
Ru1 Ru 0.0000 0.0000 0.5000 1
# * calculated total energy: -7.67 eV per atom
# * energy relative to the elements: 0.57 eV per atom
# * M_tot: 0.000 μB per atom

---

Entry 3:
# Pr6As3PSe2, relaxed, DFT PBE
data_Pr6As3PSe2
_space_group_name_H-M_alt 'C 1 2/m 1'
_space_group_IT_number 12
_cell_length_a 18.6677
_cell_length_b 4.2793
_cell_length_c 8.5658
_cell_angle_alpha 90.00
_cell_angle_beta 103.24
_cell_angle_gamma 90.00
loop_
_space_group_symop_operation_xyz
'x,y,z'
'-x,-y,-z'
'-x,y,-z'
'x,-y,z'
'x+1/2,y+1/2,z'
'-x+1/2,-y+1/2,-z'
'-x+1/2,y+1/2,-z'
'x+1/2,-y+1/2,z'
loop_
_atom_site_label
_atom_site_type_symbol
_atom_site_fract_x
_atom_site_fract_y
_atom_site_fract_z
_atom_site_occupancy
Pr1 Pr 0.0017 0.0000 0.2576 1
Pr2 Pr 0.1631 0.5000 0.0891 1
Pr3 Pr 0.1635 0.5000 0.5759 1
As1 As 0.0000 0.5000 0.0000 1
As2 As 0.1681 0.0000 0.3337 1
P1 P 0.0000 0.5000 0.5000 1
Se1 Se 0.1673 0.0000 0.8352 1
# * calculated total energy: -6.26 eV per atom
# * raw formation energy: -1673 meV per atom
# * M_tot: 0.000 μB per atom

---

Entry 4:
# In2Hg2Au, relaxed, DFT PBE
data_In2Hg2Au
_space_group_name_H-M_alt 'P 4/m b m'
_space_group_IT_number 127
_space_group_name_Hall '-P 4 2ab'
_cell_length_a 7.4416
_cell_length_b 7.4416
_cell_length_c 4.6644
_cell_angle_alpha 90.00
_cell_angle_beta 90.00
_cell_angle_gamma 90.00
loop_
_atom_site_label
_atom_site_type_symbol
_atom_site_fract_x
_atom_site_fract_y
_atom_site_fract_z
_atom_site_occupancy
In1 In 0.1645 0.3355 0.0000 1
Hg1 Hg 0.1466 0.6466 0.5000 1
Au1 Au 0.0000 0.0000 0.5000 1
# * calculated total energy: -1.81 eV per atom
# * energy relative to the elements: 0.06 eV per atom
# * M_tot: 0.000 μB per atom
# * polymorph energy (0 for the lowest one): 68 meV/atom